[1]
Here is a relaxed La2MgCdCo crystal from Alexandria via LeMat-Bulk. Energies are from GGA-PBE. Values from VASP.

```
&SYSTEM
  ibrav = 0, nat = 5, ntyp = 4
/
ATOMIC_SPECIES
Cd 112.41 Cd.upf
Mg 24.30 Mg.upf
La 138.91 La.upf
Co 58.93 Co.upf
ATOMIC_POSITIONS crystal
Cd 0.0000 0.0000 0.5000
Mg 0.5000 0.5000 0.5000
La 0.0000 0.5000 0.0000
La 0.5000 0.0000 0.0000
Co 0.0000 0.0000 0.0000
CELL_PARAMETERS angstrom
5.2180 0.0000 0.0000
0.0000 5.2180 0.0000
0.0000 0.0000 5.1794
```

## Properties
Calculated density (g/cm3): 5.58
Calculated formation energy (eV/atom): -0.140
Offset from the most stable computed form (eV/atom): 0.048


[2]
Here is a relaxed CaSb2TeAu crystal from Alexandria via LeMat-Bulk. Energies are from GGA-PBE. Values from VASP.

```
&SYSTEM
  ibrav = 0, nat = 5, ntyp = 4
/
ATOMIC_SPECIES
Te 127.60 Te.upf
Ca 40.08 Ca.upf
Sb 121.76 Sb.upf
Au 196.97 Au.upf
ATOMIC_POSITIONS crystal
Te 0.0000 0.0000 0.5000
Ca 0.0000 0.0000 0.0000
Sb 0.0000 0.5000 0.0000
Sb 0.5000 0.0000 0.0000
Au 0.5000 0.5000 0.5000
CELL_PARAMETERS angstrom
-2.5559 5.1420 -0.0823
-0.2337 -0.0244 5.7380
5.0139 2.4957 0.2148
```

## Properties
Calculated density (g/cm3): 5.46
ΔE_f (raw) (meV/atom): 679
Offset from the most stable computed form (eV/atom): 0.669


[3]
Here is a relaxed EuDyZn crystal from Alexandria via LeMat-Bulk. Energies are from GGA-PBE. Values from VASP.

```
&SYSTEM
  ibrav = 0, nat = 3, ntyp = 3
/
ATOMIC_SPECIES
Eu 151.96 Eu.upf
Zn 65.41 Zn.upf
Dy 162.50 Dy.upf
ATOMIC_POSITIONS crystal
Eu 0.9775 0.0000 0.0000
Zn 0.5701 0.6667 0.3333
Dy 0.4525 0.3333 0.6667
CELL_PARAMETERS angstrom
3.8651 0.0000 0.0000
0.0000 5.0954 0.0000
0.0000 -2.5477 4.4127
```

## Properties
Calculated density (g/cm3): 7.26
Calculated formation energy (eV/atom): 0.005
Offset from the most stable computed form (eV/atom): 0.179


[4]
Here is a relaxed Be4Ni crystal from Alexandria via LeMat-Bulk. Energies are from GGA-PBE. Values from VASP.

```
&SYSTEM
  ibrav = 0, nat = 5, ntyp = 2
/
ATOMIC_SPECIES
Ni 58.69 Ni.upf
Be 9.01 Be.upf
ATOMIC_POSITIONS crystal
Ni 0.5000 0.5000 0.5000
Be 0.0000 0.5000 0.5000
Be 0.5000 0.5000 0.0000
Be 0.5000 0.0000 0.5000
Be 0.0000 0.0000 0.0000
CELL_PARAMETERS angstrom
3.9019 0.0000 0.0000
0.0000 3.9019 0.0000
0.0000 0.0000 3.9019
```

## Properties
Calculated density (g/cm3): 2.65
Calculated formation energy (eV/atom): 0.697
Offset from the most stable computed form (eV/atom): 0.527


[5]
Here is a relaxed FeH2I crystal from Alexandria via LeMat-Bulk. Energies are from GGA-PBE. Values from VASP.

```
&SYSTEM
  ibrav = 0, nat = 8, ntyp = 3
/
ATOMIC_SPECIES
Fe 55.84 Fe.upf
I 126.90 I.upf
H 1.01 H.upf
ATOMIC_POSITIONS crystal
Fe 0.5000 0.5000 0.0000
Fe 0.2500 0.7500 0.5000
I 0.7500 0.2500 0.5000
I 0.0000 0.0000 0.0000
H 0.3721 0.1250 0.2500
H 0.3779 0.6250 0.2500
H 0.8750 0.6221 0.7500
H 0.3750 0.6279 0.7500
CELL_PARAMETERS angstrom
-2.1719 -2.2095 -4.4615
3.7171 -3.9578 0.1505
-1.5551 -5.1870 0.0193
```

## Properties
Calculated density (g/cm3): 5.45
Offset from the most stable computed form (eV/atom): 0.000


[6]
Here is a relaxed Rb4CdO crystal from Alexandria via LeMat-Bulk. Energies are from GGA-PBE. Values from VASP.

```
&SYSTEM
  ibrav = 0, nat = 12, ntyp = 3
/
ATOMIC_SPECIES
Rb 85.47 Rb.upf
Cd 112.41 Cd.upf
O 16.00 O.upf
ATOMIC_POSITIONS crystal
Rb 0.4761 0.2500 0.6770
Rb 0.8287 0.9804 0.1307
Rb 0.1713 0.4804 0.8693
Rb 0.5239 0.7500 0.3230
Rb 0.8839 0.2500 0.4933
Rb 0.1713 0.0196 0.8693
Rb 0.1161 0.7500 0.5067
Rb 0.8287 0.5196 0.1307
Cd 0.6683 0.7500 0.7570
Cd 0.3317 0.2500 0.2430
O 0.1653 0.2500 0.7141
O 0.8347 0.7500 0.2859
CELL_PARAMETERS angstrom
7.0349 0.0000 -3.0108
0.0000 8.3793 0.0000
-0.0683 0.0000 11.0885
```

## Properties
Calculated density (g/cm3): 2.40
ΔE_f (raw) (meV/atom): -414


[7]
Here is a relaxed RbYGe2B crystal from Alexandria via LeMat-Bulk. Energies are from GGA-PBE. Values from VASP.

```
&SYSTEM
  ibrav = 0, nat = 5, ntyp = 4
/
ATOMIC_SPECIES
Ge 72.64 Ge.upf
B 10.81 B.upf
Y 88.91 Y.upf
Rb 85.47 Rb.upf
ATOMIC_POSITIONS crystal
Ge 0.0000 0.0000 0.5000
Ge 0.5000 0.0000 0.0000
B 0.0000 0.5000 0.0000
Y 0.5000 0.5000 0.5000
Rb 0.0000 0.0000 0.0000
CELL_PARAMETERS angstrom
5.3929 0.0000 0.0000
0.0000 4.7558 0.0000
0.0000 0.0000 5.3929
```

## Properties
Calculated density (g/cm3): 3.97
Calculated formation energy (eV/atom): 1.753


[8]
Here is a relaxed Ta2ZnCu crystal from Alexandria via LeMat-Bulk. Energies are from GGA-PBE. Values from VASP.

```
&SYSTEM
  ibrav = 0, nat = 4, ntyp = 3
/
ATOMIC_SPECIES
Ta 180.95 Ta.upf
Cu 63.55 Cu.upf
Zn 65.41 Zn.upf
ATOMIC_POSITIONS crystal
Ta 0.0000 0.0000 0.0000
Ta 0.5000 0.5000 0.0000
Cu 0.0000 0.5000 0.5000
Zn 0.5000 0.0000 0.5000
CELL_PARAMETERS angstrom
4.8166 0.0086 -0.0307
-1.4665 4.5879 -0.0307
0.0163 0.0224 2.8320
```

## Properties
Calculated density (g/cm3): 13.02
Calculated formation energy (eV/atom): 0.079


> calculated density of number 7 (RbYGe2B)?

3.97 g/cm3


> What is the calculated density in the sixth record?

2.40 g/cm3


> The highest calculated density belongs to which entry?

Ta2ZnCu